# 1
VASP calculation (SCAN) on CrMo2Se at its PBEsol-relaxed geometry.

a = 3.092 Å, b = 4.257 Å, c = 4.368 Å
α = 90.00°, β = 90.00°, γ = 90.00°
Space group Pmmm (No. 47)
Symmetry-distinct sites (fractional):
Cr1 0.000 0.000 0.000 x1
Mo1 0.000 0.500 0.500 x1
Mo2 0.500 0.000 0.500 x1
Se1 0.500 0.500 0.000 x1

Properties
Its total energy is -106.9 eV per cell. The density is 9.3 g/cm3.



# 2
VASP calculation (SCAN) on CrMo3Se at its PBEsol-relaxed geometry.

a = 4.449 Å, b = 4.449 Å, c = 4.449 Å
α = 90.00°, β = 90.00°, γ = 90.00°
Space group Pm-3m (No. 221)
Symmetry-distinct sites (fractional):
Cr1 0.000 0.000 0.000 x1
Mo1 0.000 0.000 0.500 x3
Se1 0.500 0.500 0.500 x1

Properties
Its total energy is -136.1 eV per cell. The density is 7.9 g/cm3.



# 3
VASP calculation (SCAN) on CrSi2Mo at its PBEsol-relaxed geometry.

a = 5.324 Å, b = 7.604 Å, c = 2.723 Å
α = 90.00°, β = 108.84°, γ = 90.00°
Space group C2/m (No. 12)
Symmetry-distinct sites (fractional):
Cr1 0.000 0.000 0.000 x2
Si1 0.250 0.250 0.500 x4
Mo1 0.000 0.500 0.000 x2

Properties
For the energy above the most stable polymorph in this dataset, the calculation gives 92 meV per atom. The density is 6.5 g/cm3.



# 4
VASP calculation (SCAN) on CrSi2Mo at its PBEsol-relaxed geometry.

a = 5.910 Å, b = 5.910 Å, c = 5.910 Å
α = 90.00°, β = 90.00°, γ = 90.00°
Space group Fm-3m (No. 225)
Symmetry-distinct sites (fractional):
Cr1 0.000 0.000 0.000 x4
Si1 0.250 0.250 0.250 x8
Mo1 0.000 0.000 0.500 x4

Properties
For the energy above the most stable polymorph in this dataset, the calculation gives 0 meV per atom. The density is 6.6 g/cm3.



# 5
VASP calculation (SCAN) on CrSi2Mo at its PBEsol-relaxed geometry.

a = 3.155 Å, b = 3.799 Å, c = 4.297 Å
α = 90.00°, β = 90.00°, γ = 90.00°
Space group Pmmm (No. 47)
Symmetry-distinct sites (fractional):
Cr1 0.000 0.000 0.000 x1
Si1 0.000 0.500 0.500 x1
Si2 0.500 0.500 0.000 x1
Mo1 0.500 0.000 0.500 x1

Properties
For the energy above the most stable polymorph in this dataset, the calculation gives 132 meV per atom. The density is 6.6 g/cm3.



# 6
VASP calculation (SCAN) on Cr3SiMo at its PBEsol-relaxed geometry.

a = 4.511 Å, b = 4.511 Å, c = 4.511 Å
α = 90.00°, β = 90.00°, γ = 90.00°
Space group Pm-3m (No. 221)
Symmetry-distinct sites (fractional):
Cr1 0.000 0.000 0.500 x3
Si1 0.500 0.500 0.500 x1
Mo1 0.000 0.000 0.000 x1

Properties
Its total energy is -92.7 eV per cell. The density is 5.1 g/cm3.